[1]
DFT (PBE) results for crystalline KTbIn2Cl6 at its relaxed geometry.

a = 7.9701 Å, b = 7.9701 Å, c = 7.9701 Å
α = 58.55°, β = 58.55°, γ = 58.55°
Last column: nearest neighbours and their distance in Å.
Sites, in units of the cell vectors:
K 0.0000 0.0000 0.0000  6 Cl 3.10-3.22
Tb 0.4924 0.4924 0.4924  6 Cl 2.65-2.70
In 0.2858 0.2858 0.2858  6 Cl 3.15-3.34
In 0.7889 0.7889 0.7889  6 Cl 3.20-3.26
Cl 0.1531 0.6850 0.3783  1 Tb 2.70
Cl 0.2459 0.6239 0.8173  1 Tb 2.65
Cl 0.3783 0.1531 0.6850  1 Tb 2.70
Cl 0.6239 0.8173 0.2459  1 Tb 2.65
Cl 0.6850 0.3783 0.1531  1 Tb 2.70
Cl 0.8173 0.2459 0.6239  1 Tb 2.65

Results
E_form (uncorrected) = -1.658 eV/atom
crystal system = trigonal
electronic total energy = -3.8865 eV per atom

***

[2]
DFT (PBE) results for crystalline Sm2TaGe4Rh3 at its relaxed geometry.

a = 4.1744 Å, b = 4.1744 Å, c = 10.8232 Å
α = 90.00°, β = 90.00°, γ = 90.00°
Last column: nearest neighbours and their distance in Å.
Sites, in units of the cell vectors:
Sm 0.0000 0.5000 0.2403  8 Ge 3.19-3.33, 6 Rh 3.21-3.50, 2 Ta 3.50
Sm 0.5000 0.0000 0.7597  8 Ge 3.19-3.33, 6 Rh 3.21-3.50, 2 Ta 3.50
Ta 0.0000 0.0000 0.5000  4 Ge 2.63
Ge 0.0000 0.0000 0.0000  4 Rh 2.48
Ge 0.0000 0.5000 0.6486  3 Rh 2.47-2.63, 2 Ta 2.63
Ge 0.5000 0.0000 0.3514  3 Rh 2.47-2.63, 2 Ta 2.63
Ge 0.5000 0.5000 0.0000  4 Rh 2.48
Rh 0.0000 0.5000 0.8767  5 Ge 2.47-2.48
Rh 0.5000 0.0000 0.1233  5 Ge 2.47-2.48
Rh 0.5000 0.5000 0.5000  4 Ge 2.63

Results
formation enthalpy at 0 K = -0.716 eV/atom
crystal system = tetragonal
electronic total energy = -6.8979 eV per atom

***

[3]
DFT (PBE) results for crystalline CdNiGe2 at its relaxed geometry.

a = 8.7952 Å, b = 8.7952 Å, c = 8.7952 Å
α = 20.65°, β = 20.65°, γ = 20.65°
Last column: nearest neighbours and their distance in Å.
Sites, in units of the cell vectors:
Cd 0.0000 0.0000 0.0000  2 Ge 2.70
Ni 0.5000 0.5000 0.5000  6 Ge 2.43
Ge 0.1045 0.1045 0.1045  3 Ni 2.43, 1 Cd 2.70
Ge 0.8955 0.8955 0.8955  3 Ni 2.43, 1 Cd 2.70

Results
formation enthalpy at 0 K = 0.015 eV/atom
crystal system = trigonal
electronic total energy = -3.9677 eV per atom

***

[4]
DFT (PBE) results for crystalline Th3Si2Au4 at its relaxed geometry.

a = 5.9737 Å, b = 5.9737 Å, c = 8.7318 Å
α = 107.37°, β = 107.37°, γ = 43.97°
Last column: nearest neighbours and their distance in Å.
Sites, in units of the cell vectors:
Th 0.0000 0.0000 0.0000  8 Au 3.15-3.37, 4 Si 3.26
Th 0.3322 0.3322 0.3380  4 Si 3.16-3.27, 8 Au 3.19-3.43
Th 0.6678 0.6678 0.6620  4 Si 3.16-3.27, 8 Au 3.19-3.43
Si 0.3896 0.3896 0.7170  3 Au 2.51-2.53
Si 0.6104 0.6104 0.2830  3 Au 2.51-2.53
Au 0.0526 0.0526 0.3764  2 Si 2.53, 1 Au 2.76
Au 0.2822 0.2822 0.9298  1 Si 2.51, 2 Au 2.75
Au 0.7178 0.7178 0.0702  1 Si 2.51, 2 Au 2.75
Au 0.9474 0.9474 0.6236  2 Si 2.53, 1 Au 2.76

Results
E_form (uncorrected) = -0.702 eV/atom
crystal system = monoclinic
electronic total energy = -5.8366 eV per atom

***

[5]
DFT (PBE) results for crystalline Fe2Co at its relaxed geometry.

a = 2.4758 Å, b = 4.7070 Å, c = 6.1877 Å
α = 78.30°, β = 82.44°, γ = 79.87°
Last column: nearest neighbours and their distance in Å.
Sites, in units of the cell vectors:
Fe 0.0000 0.0000 0.0000  6 Fe 2.46-2.48, 2 Co 2.46
Fe 0.1684 0.1678 0.3346  3 Co 2.44-2.46, 5 Fe 2.47-2.48
Fe 0.5000 0.5000 0.0000  6 Fe 2.46-2.48, 2 Co 2.46
Fe 0.8316 0.8322 0.6654  3 Co 2.44-2.46, 5 Fe 2.47-2.48
Co 0.3307 0.3326 0.6669  5 Fe 2.44-2.46, 3 Co 2.48
Co 0.6693 0.6674 0.3331  5 Fe 2.44-2.46, 3 Co 2.48

Results
formation enthalpy at 0 K = -0.021 eV/atom
crystal system = triclinic
electronic total energy = -8.0314 eV per atom

***

[6]
DFT (PBE) results for crystalline In3PtAu at its relaxed geometry.

a = 5.1766 Å, b = 5.1766 Å, c = 5.1766 Å
α = 90.00°, β = 90.00°, γ = 90.00°
Last column: nearest neighbours and their distance in Å.
Sites, in units of the cell vectors:
In 0.0000 0.0000 0.5000  2 Pt 2.59
In 0.0000 0.5000 0.0000  2 Pt 2.59
In 0.5000 0.0000 0.0000  2 Pt 2.59
Pt 0.0000 0.0000 0.0000  6 In 2.59
Au 0.5000 0.5000 0.5000  12 In 3.66

Results
formation enthalpy at 0 K = -0.119 eV/atom
offset from the most stable computed form = 156 meV per atom
crystal system = cubic
electronic total energy = -3.6261 eV per atom

***

[7]
DFT (PBE) results for crystalline LaReAu at its relaxed geometry.

a = 7.2795 Å, b = 7.2795 Å, c = 7.2795 Å
α = 156.45°, β = 156.45°, γ = 33.54°
Last column: nearest neighbours and their distance in Å.
Sites, in units of the cell vectors:
La 0.0000 0.0000 0.0000  4 La 2.97, 4 Re 3.25
Re 0.3225 0.3225 0.0000  4 Au 2.84, 4 Re 2.97
Au 0.6857 0.6857 0.0000  4 Re 2.84, 4 Au 2.97

Results
formation enthalpy at 0 K = 0.413 eV/atom
offset from the most stable computed form = 173 meV per atom
crystal system = tetragonal
electronic total energy = -6.4715 eV per atom

***

[8]
DFT (PBE) results for crystalline YCu2Se at its relaxed geometry.

a = 5.6984 Å, b = 5.6984 Å, c = 5.6984 Å
α = 139.85°, β = 139.85°, γ = 58.08°
Last column: nearest neighbours and their distance in Å.
Sites, in units of the cell vectors:
Y 0.0000 0.0000 0.0000  4 Se 2.77
Cu 0.2500 0.7500 0.5000  4 Cu 2.77
Cu 0.7500 0.2500 0.5000  4 Cu 2.77
Se 0.5000 0.5000 0.0000  4 Y 2.77

Results
E_form (uncorrected) = -0.358 eV/atom
crystal system = tetragonal
electronic total energy = -4.8936 eV per atom

***

[9]
DFT (PBE) results for crystalline PmDyGeRu at its relaxed geometry.

a = 4.9972 Å, b = 4.9972 Å, c = 4.9972 Å
α = 60.00°, β = 60.00°, γ = 60.00°
Last column: nearest neighbours and their distance in Å.
Sites, in units of the cell vectors:
Pm 0.0000 0.0000 0.0000  4 Ge 3.06, 4 Ru 3.06
Dy 0.5000 0.5000 0.5000  4 Ge 3.06, 4 Ru 3.06
Ge 0.7500 0.7500 0.7500  4 Dy 3.06, 4 Pm 3.06
Ru 0.2500 0.2500 0.2500  4 Dy 3.06, 4 Pm 3.06

Results
formation enthalpy at 0 K = -0.411 eV/atom
offset from the most stable computed form = 179 meV per atom
crystal system = cubic
electronic total energy = -6.2226 eV per atom

***

[10]
DFT (PBE) results for crystalline YAl2P at its relaxed geometry.

a = 7.8411 Å, b = 7.8411 Å, c = 7.8411 Å
α = 26.85°, β = 26.85°, γ = 26.85°
Last column: nearest neighbours and their distance in Å.
Sites, in units of the cell vectors:
Y 0.0000 0.0000 0.0000  3 P 2.79
Al 0.2270 0.2270 0.2270  3 Al 2.95, 3 Y 3.20
Al 0.4690 0.4690 0.4690  3 P 2.44
P 0.7473 0.7473 0.7473  3 Al 2.44

Results
formation enthalpy at 0 K = -0.353 eV/atom
crystal system = trigonal
electronic total energy = -5.1923 eV per atom

***

[11]
DFT (PBE) results for crystalline DyEr9In2 at its relaxed geometry.

a = 4.8331 Å, b = 4.8331 Å, c = 14.7772 Å
α = 90.00°, β = 90.00°, γ = 90.00°
Last column: nearest neighbours and their distance in Å.
Sites, in units of the cell vectors:
Dy 0.0000 0.0000 0.0000  12 Er 3.42-3.51
Er 0.0000 0.5000 0.1723  8 Er 3.42-3.51, 2 In 3.45, 2 Dy 3.51
Er 0.0000 0.5000 0.5000  4 In 3.39, 8 Er 3.40-3.42
Er 0.0000 0.5000 0.8277  8 Er 3.42-3.51, 2 In 3.45, 2 Dy 3.51
Er 0.5000 0.0000 0.1723  8 Er 3.42-3.51, 2 In 3.45, 2 Dy 3.51
Er 0.5000 0.0000 0.5000  4 In 3.39, 8 Er 3.40-3.42
Er 0.5000 0.0000 0.8277  8 Er 3.42-3.51, 2 In 3.45, 2 Dy 3.51
Er 0.5000 0.5000 0.0000  4 Dy 3.42, 8 Er 3.51
Er 0.5000 0.5000 0.3377  8 Er 3.40-3.44, 4 In 3.42
Er 0.5000 0.5000 0.6623  8 Er 3.40-3.44, 4 In 3.42
In 0.0000 0.0000 0.3388  12 Er 3.39-3.45
In 0.0000 0.0000 0.6612  12 Er 3.39-3.45

Results
formation enthalpy at 0 K = -0.163 eV/atom
crystal system = tetragonal
electronic total energy = -4.4252 eV per atom

***

[12]
DFT (PBE) results for crystalline YCd2Hg at its relaxed geometry.

a = 3.5786 Å, b = 3.5786 Å, c = 7.5408 Å
α = 90.00°, β = 90.00°, γ = 90.00°
Last column: nearest neighbours and their distance in Å.
Sites, in units of the cell vectors:
Y 0.0000 0.0000 0.0000  4 Hg 3.17, 4 Cd 3.26
Cd 0.0000 0.0000 0.5031  4 Cd 3.07, 4 Hg 3.12
Cd 0.5000 0.5000 0.2716  4 Cd 3.07, 4 Y 3.26
Hg 0.5000 0.5000 0.7461  4 Cd 3.12, 4 Y 3.17

Results
formation enthalpy at 0 K = -0.238 eV/atom
crystal system = tetragonal
electronic total energy = -2.3866 eV per atom